Material: Zn2AuI8
Method: DFT, GGA-PBE
State: relaxed

Structure (extended XYZ):
```
11
Lattice="7.523 0.461 0.661 0.948 8.641 0.751 0.837 -0.855 8.643" Properties=species:S:1:pos:R:3 pbc="T T T"
I 2.358 8.023 3.085
I 2.282 1.533 8.479
I 2.190 3.486 4.225
I 7.119 4.762 5.830
I 7.027 6.714 1.576
I 4.969 2.258 2.787
I 6.951 0.225 6.970
I 4.339 5.990 7.268
Zn 2.574 1.708 2.092
Zn 6.735 6.540 7.963
Au 0.000 0.000 0.000
```



Material: ZnAuI3
Method: DFT, GGA-PBE
State: relaxed

## Properties
Energy above the lowest structure with this stoichiometry: 0.587 eV/atom

Structure (extended XYZ):
```
5
Lattice="-1.687 -1.151 -5.293 -3.750 -3.752 2.011 -3.908 4.096 0.355" Properties=species:S:1:pos:R:3 pbc="T T T"
Zn -4.673 -0.403 -1.463
I -1.875 -1.876 1.006
I -1.954 2.048 0.178
I -0.844 -0.575 -2.646
Au 0.000 0.000 0.000
```



Material: Zn3Au5I12
Method: DFT, GGA-PBE
State: relaxed

Structure (extended XYZ):
```
80
Lattice="-5.575 -13.503 6.246 3.368 -2.264 -15.361 13.180 4.363 7.725" Properties=species:S:1:pos:R:3 pbc="T T T"
Zn 12.136 -0.397 -6.866
Zn -1.271 -10.431 -0.110
Zn -1.162 -11.008 5.476
Zn 2.300 -7.370 2.960
Zn 7.004 -9.382 -3.928
Zn 8.673 -4.035 -4.350
Zn 11.678 1.563 3.700
Zn 12.244 -0.974 -1.280
Zn 7.664 -6.017 3.937
Zn 3.970 -2.023 2.538
Zn 3.310 -5.388 -5.327
Zn -0.704 -12.968 -5.090
I 4.774 -11.017 -4.028
I 6.200 -0.388 2.638
I 5.189 -12.151 1.027
I 1.573 -7.532 -5.540
I 4.845 -6.172 9.130
I 11.207 -9.033 0.213
I 1.287 -1.571 2.032
I -3.347 -12.251 0.073
I 4.527 -6.952 -7.257
I 9.686 -9.834 -3.422
I -0.233 -2.372 -1.604
I 5.785 0.746 -2.417
I 3.022 -2.655 -5.645
I 6.129 -5.233 -10.520
I 9.390 -0.824 8.657
I -3.053 -12.966 4.980
I 11.099 -5.073 -3.517
I 14.026 1.561 -6.370
I 6.446 -4.452 5.867
I -0.021 -9.991 7.783
I 10.994 -1.414 -9.173
I 0.880 -6.663 -10.617
I 6.858 -6.991 1.476
I 7.739 -4.420 -6.926
I 14.320 0.846 -1.463
I -0.017 -9.166 -2.228
I -1.224 -10.391 -5.954
I 9.207 2.281 2.682
I 5.631 -3.164 0.643
I 3.234 -6.985 5.536
I 4.188 -0.897 -9.068
I 2.938 -6.257 0.508
I 8.036 -5.147 -1.898
I 6.785 -10.508 7.678
I 7.819 -1.501 -5.060
I 12.197 -1.014 4.564
I 10.094 -4.742 9.227
I 9.401 -3.873 4.150
I 3.155 -9.904 3.669
I 10.990 -2.239 0.838
I 9.606 -0.202 -1.602
I 1.767 -13.686 -4.072
I 7.951 -8.750 4.255
I 5.342 -8.240 -2.033
I 1.584 -10.581 -10.048
I -0.126 -6.332 2.127
I 4.116 -4.414 -2.866
I 1.367 -11.203 0.212
Au 8.274 1.049 -3.818
Au 8.216 -2.075 6.216
Au 3.201 -4.812 -10.914
Au 2.867 -9.907 -2.019
Au 3.861 -1.446 -3.048
Au 5.487 -5.702 -0.695
Au 7.112 -9.958 1.658
Au 0.000 0.000 0.000
Au 3.803 -4.570 6.985
Au 6.772 -1.750 -7.843
Au -1.103 -7.884 -4.557
Au 7.773 -6.593 9.523
Au 0.399 -5.084 -0.532
Au -2.787 -6.752 3.123
Au 10.575 -6.320 -0.858
Au 1.684 -1.132 -7.680
Au 8.107 -1.498 0.629
Au 4.202 -9.655 6.453
Au 6.590 2.181 3.862
Au 2.758 -9.330 -7.606
```



Number 1: uncorrected energy -1.929 eV/atom, formation energy from raw total energies -2.99 eV per formula unit, magnetic moment 1.0 μB/cell. Number 2: uncorrected energy -1.599 eV/atom, formation energy from raw total energies 1.21 eV per formula unit, magnetic moment 0.6 μB/cell. Number 3: uncorrected energy -1.971 eV/atom, formation energy from raw total energies -0.61 eV per formula unit, magnetic moment 0.0 μB/cell.